Record 1
The following is a GGA-PBEsol calculation of crystalline AgOsRh2 at its relaxed geometry, from the Alexandria database.

- D(E_F): 3.55 states/eV/f.u.
- Energy of formation from the pure elements: 107 meV/atom

Cell lengths 2.7202, 2.7202, 7.7398 Å; angles 90.00, 90.00, 90.00 degrees
Positions (direct):
Ag (0.5000, 0.5000, 0.0000)
Os (0.5000, 0.5000, 0.5000)
Rh (0.0000, 0.0000, 0.7321)
Rh (0.0000, 0.0000, 0.2679)

***

Record 2
The following is a GGA-PBEsol calculation of crystalline AgOsRh2 at its relaxed geometry, from the Alexandria database.

- D(E_F): 5.66 states/eV/f.u.
- Energy of formation from the pure elements: 614 meV/atom

Cell lengths 2.6905, 4.6071, 4.6743 Å; angles 90.00, 90.00, 90.00 degrees
Positions (direct):
Ag (0.5000, 0.5000, 0.0000)
Os (0.0000, 0.5000, 0.5000)
Rh (0.0000, 0.0000, 0.0000)
Rh (0.5000, 0.0000, 0.5000)

***

Record 3
The following is a GGA-PBEsol calculation of crystalline AgOs2Rh at its relaxed geometry, from the Alexandria database.

- D(E_F): 4.13 states/eV/f.u.
- Energy of formation from the pure elements: 527 meV/atom

Cell lengths 3.8387, 3.8387, 4.7221 Å; angles 113.98, 113.98, 90.00 degrees
Positions (direct):
Ag (0.2500, 0.7500, 0.5000)
Os (0.0000, 0.0000, 0.0000)
Os (0.7500, 0.2500, 0.5000)
Rh (0.5000, 0.5000, 0.0000)

***

Record 4
The following is a GGA-PBEsol calculation of crystalline AgOs2Rh at its relaxed geometry, from the Alexandria database.

- D(E_F): 3.37 states/eV/f.u.
- Energy of formation from the pure elements: 533 meV/atom

Cell lengths 2.6902, 4.4929, 5.5990 Å; angles 113.65, 103.90, 90.00 degrees
Positions (direct):
Ag (0.0000, 0.5000, 0.0000)
Os (0.7782, 0.7782, 0.5563)
Os (0.2218, 0.2218, 0.4437)
Rh (0.5000, 0.0000, 0.0000)

***

Record 5
The following is a GGA-PBEsol calculation of crystalline AgOsRh2 at its relaxed geometry, from the Alexandria database.

- D(E_F): 3.79 states/eV/f.u.
- Energy of formation from the pure elements: 429 meV/atom

Cell lengths 2.7024, 4.5430, 5.4803 Å; angles 114.49, 104.27, 90.00 degrees
Positions (direct):
Ag (0.5059, 0.5059, 0.0118)
Os (0.2734, 0.7734, 0.5468)
Rh (0.9914, 0.9914, 0.9828)
Rh (0.7293, 0.2293, 0.4587)

***

Record 6
The following is a GGA-PBEsol calculation of crystalline AgOsRu2 at its relaxed geometry, from the Alexandria database.

- D(E_F): 2.71 states/eV/f.u.
- Energy of formation from the pure elements: 293 meV/atom

Cell lengths 2.6957, 2.6957, 9.1763 Å; angles 81.55, 81.55, 60.00 degrees
Positions (direct):
Ag (0.4994, 0.4994, 0.5018)
Os (0.2555, 0.2555, 0.2334)
Ru (0.0004, 0.0004, 0.9988)
Ru (0.7447, 0.7447, 0.7660)

***

Record 7
The following is a GGA-PBEsol calculation of crystalline Ag3OsRu at its relaxed geometry, from the Alexandria database.

- D(E_F): 5.93 states/eV/f.u.
- Energy of formation from the pure elements: 2363 meV/atom

Cell lengths 4.8674, 4.8674, 4.8674 Å; angles 90.00, 90.00, 90.00 degrees
Last column: magnetic moment on the atom in μB.
Positions (direct):
Ru (0.5000, 0.5000, 0.5000)  2.53
Os (0.0000, 0.0000, 0.0000)  1.34
Ag (0.0000, 0.5000, 0.0000)  0.11
Ag (0.0000, 0.0000, 0.5000)  0.11
Ag (0.5000, 0.0000, 0.0000)  0.11

***

Record 8
The following is a GGA-PBEsol calculation of crystalline AgOs2Ru at its relaxed geometry, from the Alexandria database.

- D(E_F): 2.96 states/eV/f.u.
- Energy of formation from the pure elements: 296 meV/atom

Cell lengths 2.7105, 2.7105, 9.1960 Å; angles 81.53, 81.53, 60.00 degrees
Positions (direct):
Ag (0.2494, 0.2494, 0.2517)
Os (0.0052, 0.0052, 0.9845)
Os (0.7504, 0.7504, 0.7488)
Ru (0.4950, 0.4950, 0.5150)

***

Record 9
The following is a GGA-PBEsol calculation of crystalline AgOs2Ru at its relaxed geometry, from the Alexandria database.

- D(E_F): 4.42 states/eV/f.u.
- Energy of formation from the pure elements: 412 meV/atom

Cell lengths 2.7104, 2.7104, 7.8629 Å; angles 90.00, 90.00, 90.00 degrees
Positions (direct):
Ag (0.5000, 0.5000, 0.7485)
Os (0.0000, 0.0000, 0.0170)
Os (0.5000, 0.5000, 0.2509)
Ru (0.0000, 0.0000, 0.4837)

***

Record 10
The following is a GGA-PBEsol calculation of crystalline AgOsRu2 at its relaxed geometry, from the Alexandria database.

- D(E_F): 5.64 states/eV/f.u.
- Energy of formation from the pure elements: 684 meV/atom

Cell lengths 3.8021, 3.8601, 3.8601 Å; angles 90.00, 90.00, 90.00 degrees
Last column: magnetic moment on the atom in μB.
Positions (direct):
Ag (0.5000, 0.5000, 0.5000)  0.08
Os (0.5000, 0.0000, 0.0000)  0.25
Ru (0.0000, 0.0000, 0.5000)  0.43
Ru (0.0000, 0.5000, 0.0000)  0.43

***

Record 11
The following is a GGA-PBEsol calculation of crystalline AgOsRu2 at its relaxed geometry, from the Alexandria database.

- D(E_F): 4.98 states/eV/f.u.
- Energy of formation from the pure elements: 595 meV/atom

Cell lengths 3.7738, 3.7738, 4.7786 Å; angles 113.26, 113.26, 90.00 degrees
Positions (direct):
Ag (0.5000, 0.5000, 0.0000)
Os (0.7500, 0.2500, 0.5000)
Ru (0.0000, 0.0000, 0.0000)
Ru (0.2500, 0.7500, 0.5000)

***

Record 12
The following is a GGA-PBEsol calculation of crystalline AgOs2Ru at its relaxed geometry, from the Alexandria database.

- D(E_F): 4.64 states/eV/f.u.
- Energy of formation from the pure elements: 546 meV/atom

Cell lengths 2.6981, 3.8909, 5.4621 Å; angles 90.00, 90.00, 90.00 degrees
Positions (direct):
Ag (0.5000, 0.5000, 0.5000)
Os (0.0000, 0.0000, 0.7672)
Os (0.0000, 0.0000, 0.2328)
Ru (0.5000, 0.5000, 0.0000)

***

Record 13
The following is a GGA-PBEsol calculation of crystalline Ag2OsRu at its relaxed geometry, from the Alexandria database.

- D(E_F): 2.30 states/eV/f.u.
- Energy of formation from the pure elements: 410 meV/atom

Cell lengths 2.7546, 3.7990, 5.7720 Å; angles 90.00, 90.00, 90.00 degrees
Positions (direct):
Ag (0.0000, 0.0000, 0.0034)
Ag (0.5000, 0.5000, 0.2469)
Os (0.0000, 0.0000, 0.5329)
Ru (0.5000, 0.5000, 0.7169)

***

Record 14
The following is a GGA-PBEsol calculation of crystalline AgOs2Ru at its relaxed geometry, from the Alexandria database.

- D(E_F): 6.22 states/eV/f.u.
- Energy of formation from the pure elements: 939 meV/atom

Cell lengths 2.7418, 4.6053, 4.6053 Å; angles 90.00, 90.00, 90.00 degrees
Positions (direct):
Ag (0.5000, 0.0000, 0.0000)
Os (0.0000, 0.0000, 0.5000)
Os (0.0000, 0.5000, 0.0000)
Ru (0.5000, 0.5000, 0.5000)

***

Record 15
The following is a GGA-PBEsol calculation of crystalline AgOsRuS2 at its relaxed geometry, from the Alexandria database.

- Raw formation energy: 1.29 eV per atom
- D(E_F): 6.04 states/eV/f.u.

Cell lengths 4.3866, 4.3866, 5.1027 Å; angles 90.00, 90.00, 90.00 degrees
Last column: magnetic moment on the atom in μB.
Positions (direct):
Ru (0.5000, 0.5000, 0.5000)  2.21
S (0.0000, 0.5000, 0.0000)  0.02
S (0.5000, 0.0000, 0.0000)  0.02
Os (0.0000, 0.0000, 0.0000)  -0.14
Ag (0.0000, 0.0000, 0.5000)  0.01